Here is an optimized crystal structure of Rb3MnSe3 from the Alexandria database. Energies are from GGA-PBE.

The space group is P2_1/c (No. 14) and the conventional cell measures 9.547, 8.247 and 13.260 Å, with angles of 90.00, 97.79 and 90.00 degrees. The distinct sites, in fractional coordinates, are Rb at (0.077, 0.158, 0.128), Rb at (0.316, 0.715, 0.789), Rb at (0.395, 0.228, 0.922), Mn at (0.165, 0.578, 0.047), Se at (0.068, 0.065, 0.389), Se at (0.248, 0.650, 0.522) and Se at (0.351, 0.064, 0.652).

The uncorrected formation energy comes out at -6.56 eV per formula unit. The volume comes out at 1034.3 Å³/cell. The uncorrected energy comes out at -4.155 eV per atom.